This record from Alexandria via LeMat-Bulk describes a geometry-optimized UTlPtAu structure. The functional is GGA-PBE.

Properties
Calculated density = 16178 kg/m³
DFT total energy = -23.8 eV/cell

Cell lengths 4.948, 4.948, 4.948 Å; angles 60.00, 60.00, 60.00 degrees
Last column: magnetic moment on the atom in μB.
Sites, in units of the cell vectors:
Au 0.250 0.250 0.250  -0.01
U 0.500 0.500 0.500  2.12
Tl 0.000 0.000 0.000  0.01
Pt 0.750 0.750 0.750  -0.08

=====

This record from Alexandria via LeMat-Bulk describes a geometry-optimized ZrTlPtAu2 structure. The functional is GGA-PBE.

Properties
Calculated density = 10589 kg/m³
DFT total energy = -17.5 eV/cell

Cell lengths 5.034, 5.473, 5.034 Å; angles 90.00, 90.00, 90.00 degrees
Sites, in units of the cell vectors:
Zr 0.000 0.500 0.000
Tl 0.000 0.000 0.000
Pt 0.500 0.500 0.500
Au 0.000 0.000 0.500
Au 0.500 0.000 0.000

=====

This record from Alexandria via LeMat-Bulk describes a geometry-optimized TmPt4Au structure. The functional is GGA-PBE.

Properties
Calculated density = 17702 kg/m³
DFT total energy = -36.1 eV/cell

Cell lengths 5.337, 5.337, 5.337 Å; angles 60.00, 60.00, 60.00 degrees
Sites, in units of the cell vectors:
Pt 0.124 0.625 0.625
Pt 0.625 0.625 0.124
Pt 0.625 0.625 0.625
Pt 0.625 0.124 0.625
Tm 0.250 0.250 0.250
Au 0.000 0.000 0.000